Ca2Sb3Pd2 after structural relaxation. Source: the Alexandria database, functional PBE-GGA.

```
14
Lattice="10.9964 0.0000 0.0000 0.0000 4.3817 0.0000 -2.6644 0.0000 7.0614" Properties=species:S:1:pos:R:3 pbc="T T T"
Ca 0.8527 0.0000 2.0975
Ca 1.9811 2.1908 4.9639
Ca 6.3509 2.1908 2.0975
Ca 7.4793 0.0000 4.9639
Sb -1.3322 2.1908 3.5307
Sb -1.2112 2.1908 6.7588
Sb 4.0450 0.0000 0.3026
Sb 4.1660 0.0000 3.5307
Sb 4.2870 0.0000 6.7588
Sb 9.5432 2.1908 0.3026
Pd -0.4175 0.0000 5.2746
Pd 3.2513 2.1908 1.7868
Pd 5.0807 2.1908 5.2746
Pd 8.7495 0.0000 1.7868
```

Computed properties:
raw formation energy: -669 meV/atom
crystal system: monoclinic
size of the total moment: 0.0 μB/f.u.